The following is a PBE calculation of AlFeRu after structural relaxation, from the Alexandria database.

Cell: 2.9865 4.4400 12.2316 Å, 90.00 90.00 90.00°
Closest atoms and distances in Å follow each position.
Space group Fmm2 (No. 42)
Unique sites:
1 Al 0.0000 0.0000 0.0000 x4  2 Fe 2.50, 2 Ru 2.53, 4 Al 2.68
2 Fe 0.0000 0.0000 0.3362 x4  2 Al 2.50, 2 Ru 2.55, 4 Fe 2.68
3 Ru 0.0000 0.0000 0.6670 x4  2 Al 2.53, 2 Fe 2.55, 4 Ru 2.68

## Properties
ρ: 7.53 g cm⁻³
Electronic total energy: -7.203 eV/atom
ΔE_f: -1.0 kcal/mol of atoms


The following is a PBE calculation of AlFeSb2Ru after structural relaxation, from the Alexandria database.

Cell: 5.0780 5.0780 4.1897 Å, 90.00 90.00 90.00°
Closest atoms and distances in Å follow each position.
Space group P4/mmm (No. 123)
Unique sites:
1 Al 0.0000 0.0000 0.0000 x1  2 Fe 2.09
2 Fe 0.0000 0.0000 0.5000 x1  2 Al 2.09
3 Sb 0.0000 0.5000 0.0000 x2  2 Al 2.54
4 Ru 0.5000 0.5000 0.5000 x1  8 Sb 3.29, 4 Fe 3.59

## Properties
ρ: 6.57 g cm⁻³
Electronic total energy: -4.666 eV/atom
Energy relative to the elements, uncorrected: 1279 meV/atom